Computed, not measured: a PBEsol-optimized structure of ScPRu3 at the SCAN level of DFT.

As for the crystal system: cubic. For the formation energy, the calculation gives -1.60 eV per formula unit. Its volume is 79.33 Å³/cell. The total energy comes out at -26.143 eV per atom.

The space group is Pm-3m (No. 221) and the conventional cell measures 4.297, 4.297 and 4.297 Å, with angles of 90.00, 90.00 and 90.00 degrees. Symmetry generates all atoms from Sc at (0.000, 0.000, 0.000), P at (0.500, 0.500, 0.500) and Ru at (0.000, 0.500, 0.500).



Computed, not measured: a PBEsol-optimized structure of ScP4Ru6 at the SCAN level of DFT.

As for the crystal system: hexagonal. For the formation energy, the calculation gives -8.85 eV per formula unit. Its volume is 147.34 Å³/cell. The total energy comes out at -24.876 eV per atom.

The space group is P-6m2 (No. 187) and the conventional cell measures 6.8421, 6.8421 and 3.6342 Å, with angles of 90.00, 90.00 and 120.00 degrees. Symmetry generates all atoms from Sc at (0.0000, 0.0000, 0.0000), P at (0.1874, 0.3747, 0.5000), P at (0.6667, 0.3333, 0.0000), Ru at (0.0713, 0.5356, 0.0000) and Ru at (0.3940, 0.1970, 0.5000).



Computed, not measured: a PBEsol-optimized structure of ScTiPRu2 at the SCAN level of DFT.

As for the crystal system: tetragonal. For the formation energy, the calculation gives -0.44 eV per formula unit. Its volume is 85.42 Å³/cell. The total energy comes out at -22.153 eV per atom.

The space group is P4/mmm (No. 123) and the conventional cell measures 4.301, 4.301 and 4.618 Å, with angles of 90.00, 90.00 and 90.00 degrees. Symmetry generates all atoms from Sc at (0.000, 0.000, 0.000), Ti at (0.500, 0.500, 0.000), P at (0.000, 0.000, 0.500) and Ru at (0.000, 0.500, 0.500).



Computed, not measured: a PBEsol-optimized structure of Zr2ScPRu at the SCAN level of DFT.

As for the crystal system: tetragonal. For the formation energy, the calculation gives 0.52 eV per formula unit. Its volume is 114.26 Å³/cell. The total energy comes out at -24.067 eV per atom.

The space group is P4/mmm (No. 123) and the conventional cell measures 4.856, 4.856 and 4.846 Å, with angles of 90.00, 90.00 and 90.00 degrees. Symmetry generates all atoms from Zr at (0.000, 0.500, 0.000), Sc at (0.000, 0.000, 0.500), P at (0.500, 0.500, 0.500) and Ru at (0.000, 0.000, 0.000).



Computed, not measured: a PBEsol-optimized structure of PRuSe at the SCAN level of DFT.

As for the crystal system: monoclinic. The uncorrected formation energy is -0.530 eV per atom. Its volume is 192.23 Å³/cell. The total energy comes out at -22.298 eV per atom.

The space group is P2_1/c (No. 14) and the conventional cell measures 5.885, 5.907 and 5.977 Å, with angles of 90.00, 112.29 and 90.00 degrees. Symmetry generates all atoms from P at (0.144, 0.131, 0.382), Ru at (0.265, 0.010, 0.792) and Se at (0.334, 0.624, 0.694).



Computed, not measured: a PBEsol-optimized structure of Sr2PRu at the SCAN level of DFT.

As for the crystal system: trigonal. For the formation energy, the calculation gives 1.20 eV per formula unit. Its volume is 294.52 Å³/cell. The total energy comes out at -22.145 eV per atom.

The space group is R-3m (No. 166, hexagonal axes) and the conventional cell measures 3.6074, 3.6074 and 26.1338 Å, with angles of 90.00, 90.00 and 120.00 degrees. Symmetry generates all atoms from Sr at (0.0000, 0.0000, 0.2502), P at (0.0000, 0.0000, 0.0000) and Ru at (0.0000, 0.0000, 0.5000).



Computed, not measured: a PBEsol-optimized structure of SrP2Ru2 at the SCAN level of DFT.

As for the crystal system: tetragonal. For the formation energy, the calculation gives -5.12 eV per formula unit. Its volume is 176.29 Å³/cell. The total energy comes out at -23.569 eV per atom.

The space group is I4/mmm (No. 139) and the conventional cell measures 4.020, 4.020 and 10.908 Å, with angles of 90.00, 90.00 and 90.00 degrees. Symmetry generates all atoms from Sr at (0.000, 0.000, 0.000), P at (0.000, 0.000, 0.354) and Ru at (0.000, 0.500, 0.250).



Computed, not measured: a PBEsol-optimized structure of Ta2PRu at the SCAN level of DFT.

As for the crystal system: orthorhombic. For the formation energy, the calculation gives -1.14 eV per formula unit. Its volume is 60.01 Å³/cell. The total energy comes out at -44.883 eV per atom.

The space group is Pmmm (No. 47) and the conventional cell measures 3.330, 4.016 and 4.488 Å, with angles of 90.00, 90.00 and 90.00 degrees. Symmetry generates all atoms from Ta at (0.000, 0.000, 0.000), Ta at (0.500, 0.000, 0.500), P at (0.000, 0.500, 0.500) and Ru at (0.500, 0.500, 0.000).